Record 1
Entry from Alexandria: crystalline Sm3Pd7Pt2 at its relaxed geometry (GGA-PBE).

Unit cell a=4.171 b=26.336 c=4.308 alpha=90.00 beta=90.00 gamma=90.00
Space group Cmmm (No. 65)
One atom of each set of equivalent atoms:
Sm 0.000 0.000 0.000
Sm 0.000 0.158 0.000
Pd 0.000 0.078 0.500
Pd 0.000 0.224 0.500
Pd 0.000 0.422 0.000
Pd 0.000 0.500 0.500
Pt 0.000 0.348 0.500

**Crystal system**: orthorhombic
**Calculated volume**: 19.71 A^3/atom
**Calculated density**: 11.13 Mg/m³
**E_form**: -689 meV per atom

=====

Record 2
Entry from Alexandria: crystalline Sm2PdPt4 at its relaxed geometry (GGA-PBE).

Unit cell a=5.725 b=5.725 c=8.610 alpha=90.00 beta=90.00 gamma=90.00
Space group I4/mmm (No. 139)
One atom of each set of equivalent atoms:
Sm 0.000 0.500 0.000
Pd 0.000 0.000 0.000
Pt 0.250 0.250 0.250

**Crystal system**: tetragonal
**Calculated volume**: 20.15 A^3/atom
**Calculated density**: 13.98 Mg/m³
**E_form**: -870 meV per atom

=====

Record 3
Entry from Alexandria: crystalline Sm2PdPt at its relaxed geometry (GGA-PBE).

Unit cell a=5.711 b=4.565 c=7.719 alpha=90.00 beta=109.72 gamma=90.00
Space group P2_1/m (No. 11)
One atom of each set of equivalent atoms:
Sm 0.223 0.250 0.434
Sm 0.229 0.250 0.929
Pd 0.323 0.750 0.206
Pt 0.330 0.750 0.707

**Crystal system**: monoclinic
**Calculated volume**: 23.68 A^3/atom
**Calculated density**: 10.56 Mg/m³
**E_form**: -1034 meV per atom

=====

Record 4
Entry from Alexandria: crystalline Sm2Pd2Pt at its relaxed geometry (GGA-PBE).

Unit cell a=4.4583 b=4.4583 c=20.0374 alpha=90.00 beta=90.00 gamma=120.00
Space group R-3m (No. 166, hexagonal axes)
One atom of each set of equivalent atoms:
Sm 0.0000 0.0000 0.0920
Pd 0.0000 0.0000 0.3530
Pt 0.0000 0.0000 0.5000

**Crystal system**: trigonal
**Calculated volume**: 23.00 A^3/atom
**Calculated density**: 10.23 Mg/m³
**E_form**: -865 meV per atom

=====

Record 5
Entry from Alexandria: crystalline SmPd3Pt at its relaxed geometry (GGA-PBE).

Unit cell a=5.082 b=5.082 c=18.164 alpha=90.00 beta=90.00 gamma=90.00
Space group I-4m2 (No. 119)
One atom of each set of equivalent atoms:
Sm 0.000 0.000 0.163
Pd 0.000 0.248 0.624
Pd 0.000 0.500 0.067
Pt 0.000 0.000 0.500
Pt 0.000 0.500 0.750

**Crystal system**: tetragonal
**Calculated volume**: 23.45 A^3/atom
**Calculated density**: 9.41 Mg/m³
**ΔE to the lowest computed polymorph**: 486 meV per atom
**E_form**: -140 meV per atom

=====

Record 6
Entry from Alexandria: crystalline SmPd5Pt2 at its relaxed geometry (GGA-PBE).

Unit cell a=5.733 b=11.469 c=4.093 alpha=90.00 beta=90.00 gamma=90.00
Space group Pbam (No. 55)
One atom of each set of equivalent atoms:
Sm 0.000 0.000 0.000
Pd 0.000 0.500 0.000
Pd 0.015 0.252 0.000
Pd 0.249 0.872 0.500
Pt 0.234 0.630 0.500

**Crystal system**: orthorhombic
**Calculated volume**: 16.82 A^3/atom
**Calculated density**: 13.24 Mg/m³
**ΔE to the lowest computed polymorph**: 0 meV per atom
**E_form**: -402 meV per atom

=====

Q: What is the formula in the third record?
A: Sm2PdPt

=====

Q: Which of these has the highest E_form?
A: SmPd3Pt